# KSeBr4

A relaxed structure of KSeBr4 (PBE, Alexandria).

Unit cell a=9.174 b=9.174 c=14.998 alpha=56.75 beta=56.75 gamma=25.18
Element x y z (fractional)
Br: 0.326 0.830 0.546
Br: 0.598 0.095 0.275
Br: 0.674 0.170 0.454
K: 0.500 0.000 0.000
K: 0.000 0.500 0.500
Se: 0.752 0.248 0.250
Br: 0.830 0.326 0.046
Br: 0.170 0.674 0.954
Br: 0.095 0.598 0.775
Se: 0.248 0.752 0.750
Br: 0.905 0.402 0.225
Br: 0.402 0.905 0.725

Computed properties:
E above lowest polymorph in meV per atom: 0
Fermi-level density of states in states/eV per cell: 3.3
Calculated volume in A^3/atom: 37.0
Magnetization in μB per formula unit: 0.000
Formation energy without anion corrections in meV/atom: -620

# Be2InNi

A relaxed structure of Be2InNi (PBE, Alexandria).

Unit cell a=4.072 b=4.072 c=4.072 alpha=60.00 beta=60.00 gamma=60.00
Element x y z (fractional)
In: 0.500 0.500 0.500
Be: 0.750 0.750 0.750
Be: 0.250 0.250 0.250
Ni: 0.000 0.000 0.000

Computed properties:
E above lowest polymorph in meV per atom: 88
ΔH_f (0 K) in eV/f.u.: 0.6
Fermi-level density of states in states/eV per cell: 1.0
Calculated volume in A^3/atom: 11.9
Magnetization in μB per formula unit: 0.000

# Sm3PdRh2

A relaxed structure of Sm3PdRh2 (PBE, Alexandria).

Unit cell a=3.542 b=3.542 c=10.488 alpha=90.00 beta=90.00 gamma=90.00
Element x y z (fractional)
Rh: 0.500 0.500 0.167
Sm: 0.000 0.000 0.326
Pd: 0.500 0.500 0.500
Sm: 0.000 0.000 0.000
Rh: 0.500 0.500 0.833
Sm: 0.000 0.000 0.674

Computed properties:
ΔH_f (0 K) in eV/f.u.: -4.5
Fermi-level density of states in states/eV per cell: 3.2
Calculated volume in A^3/atom: 21.9
Magnetization in μB per formula unit: 0.000

# Er2Zn6Cu9

A relaxed structure of Er2Zn6Cu9 (PBE, Alexandria).

Unit cell a=5.097 b=5.097 c=12.373 alpha=90.00 beta=90.00 gamma=120.00
Element x y z (fractional)
Cu: 0.000 0.500 0.168
Cu: 0.500 0.500 0.500
Cu: 0.000 0.500 0.832
Zn: 0.333 0.667 0.000
Zn: 0.333 0.667 0.665
Cu: 0.500 0.000 0.832
Er: 0.000 0.000 0.670
Zn: 0.667 0.333 0.000
Cu: 0.000 0.500 0.500
Cu: 0.500 0.500 0.832
Zn: 0.667 0.333 0.335
Cu: 0.500 0.000 0.500
Cu: 0.500 0.000 0.168
Zn: 0.333 0.667 0.335
Er: 0.000 0.000 0.330
Cu: 0.500 0.500 0.168
Zn: 0.667 0.333 0.665

Computed properties:
ΔH_f (0 K) in eV/f.u.: -1.6
Fermi-level density of states in states/eV per cell: 5.0
Calculated volume in A^3/atom: 16.4
Magnetization in μB per formula unit: 0.000

# In2H4Rh

A relaxed structure of In2H4Rh (PBE, Alexandria).

Unit cell a=3.526 b=3.526 c=7.373 alpha=76.17 beta=76.17 gamma=90.00
Element x y z (fractional)
Rh: 0.000 0.000 0.000
H: 0.121 0.121 0.757
H: 0.000 0.500 0.000
H: 0.500 0.000 0.000
In: 0.348 0.348 0.304
H: 0.879 0.879 0.243
In: 0.652 0.652 0.696

Computed properties:
Fermi-level density of states in states/eV per cell: 1.4
Calculated volume in A^3/atom: 12.3
Total DFT energy (no corrections) in eV/atom: -3.6858
Magnetization in μB per formula unit: 0.000

# CaIrAu2

A relaxed structure of CaIrAu2 (PBE, Alexandria).

Unit cell a=9.607 b=9.607 c=9.607 alpha=18.15 beta=18.15 gamma=18.15
Last column: magnetic moment on the atom in μB.
Element x y z (fractional)
Ca: 0.750 0.750 0.750  0.01
Ir: 0.250 0.250 0.250  0.72
Au: 0.997 0.997 0.997  0.03
Au: 0.503 0.503 0.503  0.03

Computed properties:
ΔH_f (0 K) in eV/f.u.: 1.3
Fermi-level density of states in states/eV per cell: 4.5
Calculated volume in A^3/atom: 18.8
Magnetization in μB per formula unit: 0.799

# NaCa2Hg

A relaxed structure of NaCa2Hg (PBE, Alexandria).

Unit cell a=4.304 b=5.368 c=5.368 alpha=90.00 beta=90.00 gamma=90.00
Element x y z (fractional)
Ca: 0.000 0.500 0.000
Na: 0.500 0.000 0.000
Ca: 0.000 0.000 0.500
Hg: 0.500 0.500 0.500

Computed properties:
ΔH_f (0 K) in eV/f.u.: -0.8
Fermi-level density of states in states/eV per cell: 3.9
Calculated volume in A^3/atom: 31.0
Magnetization in μB per formula unit: 0.000

# Np2AsRh3

A relaxed structure of Np2AsRh3 (PBE, Alexandria).

Unit cell a=5.063 b=5.063 c=5.063 alpha=66.65 beta=66.65 gamma=66.65
Last column: magnetic moment on the atom in μB.
Element x y z (fractional)
Np: 0.615 0.615 0.615  3.59
Rh: 0.000 0.000 0.500  -0.12
As: 0.000 0.000 0.000  -0.04
Np: 0.385 0.385 0.385  3.59
Rh: 0.500 0.000 0.000  -0.12
Rh: 0.000 0.500 0.000  -0.12

Computed properties:
ΔH_f (0 K) in eV/f.u.: -3.2
Fermi-level density of states in states/eV per cell: 13.8
Calculated volume in A^3/atom: 17.5
Magnetization in μB per formula unit: 7.119

# BeZnTc2

A relaxed structure of BeZnTc2 (PBE, Alexandria).

Unit cell a=4.707 b=4.707 c=2.607 alpha=90.00 beta=90.00 gamma=113.37
Element x y z (fractional)
Be: 0.000 0.500 0.500
Zn: 0.500 0.000 0.500
Tc: 0.000 0.000 0.000
Tc: 0.500 0.500 0.000

Computed properties:
E above lowest polymorph in meV per atom: 273
ΔH_f (0 K) in eV/f.u.: 0.9
Fermi-level density of states in states/eV per cell: 4.5
Calculated volume in A^3/atom: 13.3
Magnetization in μB per formula unit: 0.001

# TiSnS2

A relaxed structure of TiSnS2 (PBE, Alexandria).

Unit cell a=15.568 b=5.913 c=5.913 alpha=96.47 beta=134.46 gamma=45.54
Element x y z (fractional)
S: 0.160 0.246 0.564
Ti: 0.754 0.783 0.795
Ti: 0.254 0.705 0.717
S: 0.848 0.243 0.948
S: 0.348 0.552 0.257
Sn: 0.755 0.178 0.192
S: 0.660 0.936 0.254
Sn: 0.255 0.308 0.322

Computed properties:
Fermi-level density of states in states/eV per cell: 3.9
Calculated volume in A^3/atom: 23.3
Magnetization in μB per formula unit: 0.000
Formation energy without anion corrections in meV/atom: -739